(1)
Crystalline Ac2SiI at its relaxed geometry. Source: Alexandria via LeMat-Bulk, functional PBE.

Computed properties:
The crystal system is cubic. The uncorrected formation energy comes out at -0.66 eV/atom. For the total moment, the calculation gives 0.00 μB/cell.

a = 7.998 Å, b = 7.998 Å, c = 7.998 Å
α = 90.00°, β = 90.00°, γ = 90.00°
Space group Fm-3m (No. 225)
Unique sites:
Ac  0.250  0.250  0.250
Si  0.000  0.000  0.000
I  0.000  0.000  0.500



(2)
Crystalline Pr8As2N3 at its relaxed geometry. Source: Alexandria via LeMat-Bulk, functional PBE.

Computed properties:
The crystal system is monoclinic. The uncorrected formation energy comes out at -0.96 eV/atom. For the total moment, the calculation gives 0.00 μB/cell.

a = 14.458 Å, b = 7.474 Å, c = 6.619 Å
α = 90.00°, β = 106.52°, γ = 90.00°
Space group C2/m (No. 12)
Unique sites:
Pr  0.099  0.000  0.396
Pr  0.099  0.500  0.423
Pr  0.102  0.241  0.891
As  0.244  0.500  0.180
N  0.000  0.000  0.000
N  0.000  0.237  0.500



(3)
Crystalline HfTa2Sn at its relaxed geometry. Source: Alexandria via LeMat-Bulk, functional PBE.

Computed properties:
The crystal system is tetragonal. As for the formation enthalpy at 0 K: 0.696 eV/atom. For the total moment, the calculation gives 0.00 μB/cell.

a = 7.835 Å, b = 7.835 Å, c = 5.695 Å
α = 90.00°, β = 90.00°, γ = 90.00°
Space group I-42d (No. 122)
Unique sites:
Hf  0.000  0.000  0.000
Ta  0.234  0.250  0.625
Sn  0.000  0.000  0.500



(4)
Crystalline NaLi5Ag at its relaxed geometry. Source: Alexandria via LeMat-Bulk, functional PBE.

Computed properties:
The crystal system is tetragonal. As for the formation enthalpy at 0 K: -0.018 eV/atom. For the total moment, the calculation gives 0.00 μB/cell.

a = 4.118 Å, b = 4.118 Å, c = 9.250 Å
α = 90.00°, β = 90.00°, γ = 90.00°
Space group P4/mmm (No. 123)
Unique sites:
Na  0.000  0.000  0.000
Li  0.000  0.000  0.500
Li  0.000  0.500  0.287
Ag  0.500  0.500  0.500



(5)
Crystalline GaReW2Se at its relaxed geometry. Source: Alexandria via LeMat-Bulk, functional PBE.

Computed properties:
The crystal system is tetragonal. The uncorrected formation energy comes out at 1.79 eV/atom. For the total moment, the calculation gives 1.53 μB/cell.

a = 4.907 Å, b = 4.907 Å, c = 4.647 Å
α = 90.00°, β = 90.00°, γ = 90.00°
Space group P4/mmm (No. 123)
Unique sites:
Ga  0.000  0.000  0.000
Re  0.500  0.500  0.500
W  0.000  0.500  0.500
Se  0.500  0.500  0.000



(6)
Crystalline CsSbCI2 at its relaxed geometry. Source: Alexandria via LeMat-Bulk, functional PBE.

Computed properties:
The crystal system is tetragonal. The uncorrected formation energy comes out at 0.49 eV/atom. For the total moment, the calculation gives 0.00 μB/cell.

a = 6.099 Å, b = 6.099 Å, c = 4.514 Å
α = 90.00°, β = 90.00°, γ = 90.00°
Space group P4/mmm (No. 123)
Unique sites:
Cs  0.000  0.000  0.000
Sb  0.500  0.500  0.000
C  0.500  0.500  0.500
I  0.000  0.500  0.500



> Among the records above, which one has the highest total moment?

GaReW2Se



Please write out number 2 again, unchanged.
Crystalline Pr8As2N3 at its relaxed geometry. Source: Alexandria via LeMat-Bulk, functional PBE.

Computed properties:
The crystal system is monoclinic. The uncorrected formation energy comes out at -0.96 eV/atom. For the total moment, the calculation gives 0.00 μB/cell.

a = 14.458 Å, b = 7.474 Å, c = 6.619 Å
α = 90.00°, β = 106.52°, γ = 90.00°
Space group C2/m (No. 12)
Unique sites:
Pr  0.099  0.000  0.396
Pr  0.099  0.500  0.423
Pr  0.102  0.241  0.891
As  0.244  0.500  0.180
N  0.000  0.000  0.000
N  0.000  0.237  0.500